Entry 1:
Entry from Alexandria via LeMat-Bulk: a relaxed Y2PtSe crystal (GGA-PBEsol).

```
data_Y2PtSe
_space_group_name_H-M_alt 'P 4/m m m'
_space_group_IT_number 123
_space_group_name_Hall '-P 4 2'
_cell_length_a 4.010
_cell_length_b 4.010
_cell_length_c 5.788
_cell_angle_alpha 90.00
_cell_angle_beta 90.00
_cell_angle_gamma 90.00
loop_
_atom_site_label
_atom_site_type_symbol
_atom_site_fract_x
_atom_site_fract_y
_atom_site_fract_z
_atom_site_occupancy
Y1 Y 0.000 0.000 0.000 1
Y2 Y 0.500 0.500 0.500 1
Pt1 Pt 0.000 0.000 0.500 1
Se1 Se 0.500 0.500 0.000 1
```

Output
E_form (uncorrected), eV/atom: -1.41
Energy, Ha/atom: -0.27670
Spin magnetization, Bohr magnetons per cell: 0.00
Volume, Å³ per atom: 23.3

=====

Entry 2:
Entry from Alexandria via LeMat-Bulk: a relaxed ZnPt2Se crystal (GGA-PBEsol).

```
data_ZnPt2Se
_space_group_name_H-M_alt 'C 1 2/m 1'
_space_group_IT_number 12
_cell_length_a 8.525
_cell_length_b 2.922
_cell_length_c 5.065
_cell_angle_alpha 90.00
_cell_angle_beta 102.76
_cell_angle_gamma 90.00
loop_
_space_group_symop_operation_xyz
'x,y,z'
'-x,-y,-z'
'-x,y,-z'
'x,-y,z'
'x+1/2,y+1/2,z'
'-x+1/2,-y+1/2,-z'
'-x+1/2,y+1/2,-z'
'x+1/2,-y+1/2,z'
loop_
_atom_site_label
_atom_site_type_symbol
_atom_site_fract_x
_atom_site_fract_y
_atom_site_fract_z
_atom_site_occupancy
Zn1 Zn 0.000 0.000 0.000 1
Pt1 Pt 0.246 0.500 0.242 1
Se1 Se 0.000 0.500 0.500 1
```

Output
E_form (uncorrected), eV/atom: -0.10
Energy, Ha/atom: -0.18159
Spin magnetization, Bohr magnetons per cell: 0.00
Volume, Å³ per atom: 15.4